# 1
Entry from the Alexandria database: a relaxed structure of SrRu2Rh2 (PBE-GGA).

The calculation puts the total energy at -6.80 eV/atom. The density comes out at 9.7 g/cm³. For the relative energy among the computed polymorphs, the calculation gives 0.0000 eV/atom. For the formation enthalpy at 0 K, the calculation gives 0.18 eV per atom.

It has space group P4/mbm (No. 127), with a = 7.812 Å, b = 7.812 Å, c = 2.792 Å, α = 90.00°, β = 90.00° and γ = 90.00°. Symmetry generates all atoms from Sr at (0.000, 0.000, 0.000), Ru at (0.115, 0.385, 0.000) and Rh at (0.179, 0.679, 0.500).

# 2
Entry from the Alexandria database: a relaxed structure of Mg6Ag3Au (PBE-GGA).

The calculation puts the total energy at -2.42 eV/atom. The density comes out at 5.8 g/cm³. For the formation enthalpy at 0 K, the calculation gives -0.28 eV per atom.

It has space group P2_1/m (No. 11), with a = 8.495 Å, b = 4.591 Å, c = 9.964 Å, α = 90.00°, β = 102.29° and γ = 90.00°. Symmetry generates all atoms from Mg at (0.039, 0.250, 0.403), Mg at (0.134, 0.750, 0.189), Mg at (0.261, 0.250, 0.992), Mg at (0.347, 0.250, 0.297), Mg at (0.351, 0.750, 0.813), Mg at (0.435, 0.250, 0.601), Ag at (0.043, 0.750, 0.896), Ag at (0.148, 0.250, 0.700), Ag at (0.258, 0.750, 0.490) and Au at (0.436, 0.750, 0.120).

# 3
Entry from the Alexandria database: a relaxed structure of Pm3Y2Tl4 (PBE-GGA).

The calculation puts the total energy at -4.40 eV/atom. The density comes out at 9.0 g/cm³. For the relative energy among the computed polymorphs, the calculation gives 0.0000 eV/atom. For the formation enthalpy at 0 K, the calculation gives -0.32 eV per atom.

It has space group C2/m (No. 12), with a = 9.291 Å, b = 5.374 Å, c = 10.549 Å, α = 90.00°, β = 90.12° and γ = 90.00°. Symmetry generates all atoms from Pm at (0.000, 0.000, 0.000), Pm at (0.167, 0.500, 0.422), Y at (0.167, 0.500, 0.779), Tl at (0.000, 0.000, 0.344) and Tl at (0.166, 0.500, 0.102).

# 4
Entry from the Alexandria database: a relaxed structure of Ho2TeH2Se (PBE-GGA).

The calculation puts the total energy at -5.00 eV/atom. The density comes out at 8.4 g/cm³.

It has space group P-3m1 (No. 164), with a = 3.8876 Å, b = 3.8876 Å, c = 8.1755 Å, α = 90.00°, β = 90.00° and γ = 120.00°. Symmetry generates all atoms from Ho at (0.3333, 0.6667, 0.2350), Te at (0.0000, 0.0000, 0.5000), H at (0.3333, 0.6667, 0.7573) and Se at (0.0000, 0.0000, 0.0000).